1.
An optimized crystal structure of YTm5In2. Source: Alexandria via LeMat-Bulk, functional PBE.

```
YTm5In2
1.0
4.490 0.000 0.000
2.245 7.352 -0.152
2.245 1.201 7.255
Tm In Y
5 2 1
direct
0.347 0.841 0.465
0.000 0.500 0.500
0.653 0.159 0.535
0.653 0.535 0.159
0.347 0.465 0.841
0.287 0.213 0.213
0.713 0.787 0.787
0.000 0.000 0.000
```

***

2.
Y2Tm8In (PBE, relaxed); polymorph energy (0 for the lowest one) = 1.44 eV/f.u.
1.0
-0.056 -2.032 6.380
5.702 -7.273 2.988
8.281 -1.538 4.837
Y Tm In
2 8 1
direct
0.569 0.819 0.819
0.431 0.181 0.181
0.826 0.246 0.246
0.174 0.754 0.754
0.779 0.182 0.663
0.731 0.596 0.596
0.779 0.663 0.182
0.221 0.337 0.818
0.221 0.818 0.337
0.269 0.404 0.404
0.000 0.000 0.000

***

3.
An optimized crystal structure of YTm8In2. Source: Alexandria via LeMat-Bulk, functional PBE.

```
YTm8In2
1.0
5.506 -0.334 -0.501
-1.423 8.553 -0.717
-1.423 -3.956 7.617
Tm In Y
8 2 1
direct
0.702 0.406 0.406
0.875 0.905 0.675
0.125 0.095 0.325
0.875 0.675 0.905
0.298 0.594 0.594
0.500 0.215 0.785
0.125 0.325 0.095
0.500 0.785 0.215
0.000 0.693 0.307
0.000 0.307 0.693
0.500 0.000 0.000
```

***

4.
Y2TmIn (PBE, relaxed); polymorph energy (0 for the lowest one) = 0.02 eV/f.u.
1.0
5.214 0.000 0.000
0.000 6.336 -1.897
0.000 0.177 6.996
Y Tm In
4 2 2
direct
0.250 0.859 0.091
0.250 0.827 0.583
0.750 0.141 0.909
0.750 0.173 0.417
0.250 0.374 0.728
0.750 0.626 0.272
0.750 0.632 0.787
0.250 0.368 0.213

***

| no. | magnetization (μB/atom) | formation energy (eV per atom) |
| --- | --- | --- |
| 1 | 0.01 | -0.080 |
| 2 | 0.00 | 0.077 |
| 3 | 0.00 | -0.022 |
| 4 | 0.00 | -0.263 |